(1)
A relaxed BaDyB12 crystal. Source: Alexandria via LeMat-Bulk, functional PBE.

The structure in CIF format:
```
data_BaDyB12
_chemical_formula_sum 'Ba1 Dy1 B12'
_cell_length_a 4.181
_cell_length_b 4.181
_cell_length_c 8.366
_cell_angle_alpha 90.00
_cell_angle_beta 90.00
_cell_angle_gamma 90.00
_space_group_name_H-M_alt 'P 4/m m m'
_space_group_IT_number 123
_space_group_name_Hall '-P 4 2'
loop_
_atom_site_label
_atom_site_type_symbol
_atom_site_fract_x
_atom_site_fract_y
_atom_site_fract_z
Ba1 Ba 0.000 0.000 0.000
Dy1 Dy 0.000 0.000 0.500
B1 B 0.201 0.500 0.257
B2 B 0.500 0.500 0.104
B3 B 0.500 0.500 0.403
```

Values from the calculation:
Total energy = -92.4 eV for the cell shown
D(E_F) = 0.084 states/eV per atom
Spin magnetization = 0.000 μB per formula unit
Energy of formation = -40 kJ per mole of atoms


(2)
A relaxed Ba3DyB3O9 crystal. Source: Alexandria via LeMat-Bulk, functional PBE.

The structure in CIF format:
```
data_Ba3DyB3O9
_chemical_formula_sum 'Ba18 Dy6 B18 O54'
_cell_length_a 9.5053
_cell_length_b 9.5053
_cell_length_c 18.0722
_cell_angle_alpha 90.00
_cell_angle_beta 90.00
_cell_angle_gamma 120.00
_space_group_name_H-M_alt 'P 63 c m'
_space_group_IT_number 185
_space_group_name_Hall 'P 6c -2'
loop_
_atom_site_label
_atom_site_type_symbol
_atom_site_fract_x
_atom_site_fract_y
_atom_site_fract_z
Ba1 Ba 0.0000 0.0000 0.0000
Ba2 Ba 0.0000 0.3172 0.3476
Ba3 Ba 0.0000 0.3485 0.5853
Ba4 Ba 0.3333 0.6667 0.4391
Dy1 Dy 0.0000 0.0000 0.2137
Dy2 Dy 0.3333 0.6667 0.2194
B1 B 0.0000 0.3261 0.1422
B2 B 0.0000 0.3326 0.9673
B3 B 0.0000 0.3404 0.7960
O1 O 0.0000 0.1811 0.1324
O2 O 0.0000 0.1946 0.7861
O3 O 0.0000 0.4795 0.9675
O4 O 0.1460 0.4720 0.1470
O5 O 0.1469 0.3327 0.9669
O6 O 0.1466 0.4859 0.8012
```

Values from the calculation:
Formation energy from raw total energies = -2.908 eV/atom
Total energy = -729.4 eV for the cell shown
D(E_F) = 0.000 states/eV per atom
Spin magnetization = 0.000 μB per formula unit


(3)
A relaxed BaDy3B4O12 crystal. Source: Alexandria via LeMat-Bulk, functional PBE.

The structure in CIF format:
```
data_BaDy3B4O12
_chemical_formula_sum 'Ba3 Dy9 B12 O36'
_cell_length_a 10.3205
_cell_length_b 10.3205
_cell_length_c 8.8963
_cell_angle_alpha 90.00
_cell_angle_beta 90.00
_cell_angle_gamma 120.00
_space_group_name_H-M_alt 'R 3 2'
_space_group_IT_number 155
_space_group_name_Hall 'R 3 2"'
loop_
_atom_site_label
_atom_site_type_symbol
_atom_site_fract_x
_atom_site_fract_y
_atom_site_fract_z
Ba1 Ba 0.0000 0.0000 0.0000
Dy1 Dy 0.0000 0.5448 0.0000
B1 B 0.0000 0.0000 0.5000
B2 B 0.0000 0.4544 0.5000
O1 O 0.0000 0.5896 0.5000
O2 O 0.0000 0.8652 0.5000
O3 O 0.0101 0.2116 0.1903
```

Values from the calculation:
Formation energy from raw total energies = -2.923 eV/atom
Total energy = -481.2 eV for the cell shown
D(E_F) = 0.520 states/eV per atom
Spin magnetization = 1.048 μB per formula unit


(4)
A relaxed BaDyBS4 crystal. Source: Alexandria via LeMat-Bulk, functional PBE.

The structure in CIF format:
```
data_BaDyBS4
_chemical_formula_sum 'Ba2 Dy2 B2 S8'
_cell_length_a 6.149
_cell_length_b 6.428
_cell_length_c 8.378
_cell_angle_alpha 90.00
_cell_angle_beta 108.25
_cell_angle_gamma 90.00
_space_group_name_H-M_alt 'P 1 21/m 1'
_space_group_IT_number 11
_space_group_name_Hall '-P 2yb'
loop_
_atom_site_label
_atom_site_type_symbol
_atom_site_fract_x
_atom_site_fract_y
_atom_site_fract_z
Ba1 Ba 0.218 0.250 0.426
Dy1 Dy 0.272 0.250 0.950
B1 B 0.289 0.750 0.182
S1 S 0.104 0.750 0.335
S2 S 0.107 0.750 0.947
S3 S 0.490 0.510 0.224
```

Values from the calculation:
Formation energy from raw total energies = -1.532 eV/atom
Total energy = -80.9 eV for the cell shown
D(E_F) = 0.000 states/eV per atom
Spin magnetization = 0.000 μB per formula unit


(5)
A relaxed Ba2DyB2S6 crystal. Source: Alexandria via LeMat-Bulk, functional PBE.

The structure in CIF format:
```
data_Ba2DyB2S6
_chemical_formula_sum 'Ba4 Dy2 B4 S12'
_cell_length_a 11.547
_cell_length_b 6.610
_cell_length_c 7.956
_cell_angle_alpha 90.00
_cell_angle_beta 120.03
_cell_angle_gamma 90.00
_space_group_name_H-M_alt 'C 1 2/m 1'
_space_group_IT_number 12
_space_group_name_Hall '-C 2y'
loop_
_atom_site_label
_atom_site_type_symbol
_atom_site_fract_x
_atom_site_fract_y
_atom_site_fract_z
Ba1 Ba 0.212 0.000 0.210
Dy1 Dy 0.000 0.000 0.500
B1 B 0.054 0.500 0.261
S1 S 0.040 0.262 0.794
S2 S 0.234 0.500 0.348
```

Values from the calculation:
Formation energy from raw total energies = -1.312 eV/atom
Total energy = -122.0 eV for the cell shown
D(E_F) = 0.336 states/eV per atom
Spin magnetization = 0.698 μB per formula unit


(6)
A relaxed BaErB12 crystal. Source: Alexandria via LeMat-Bulk, functional PBE.

The structure in CIF format:
```
data_BaErB12
_chemical_formula_sum 'Ba1 Er1 B12'
_cell_length_a 4.177
_cell_length_b 4.177
_cell_length_c 8.357
_cell_angle_alpha 90.00
_cell_angle_beta 90.00
_cell_angle_gamma 90.00
_space_group_name_H-M_alt 'P 4/m m m'
_space_group_IT_number 123
_space_group_name_Hall '-P 4 2'
loop_
_atom_site_label
_atom_site_type_symbol
_atom_site_fract_x
_atom_site_fract_y
_atom_site_fract_z
Ba1 Ba 0.000 0.000 0.000
Er1 Er 0.000 0.000 0.500
B1 B 0.201 0.500 0.257
B2 B 0.500 0.500 0.105
B3 B 0.500 0.500 0.403
```

Values from the calculation:
Total energy = -92.2 eV for the cell shown
D(E_F) = 0.085 states/eV per atom
Spin magnetization = 0.000 μB per formula unit
Energy of formation = -38 kJ per mole of atoms


(7)
A relaxed BaEr4B3O12 crystal. Source: Alexandria via LeMat-Bulk, functional PBE.

The structure in CIF format:
```
data_BaEr4B3O12
_chemical_formula_sum 'Ba2 Er8 B6 O24'
_cell_length_a 7.774
_cell_length_b 7.774
_cell_length_c 7.774
_cell_angle_alpha 90.00
_cell_angle_beta 90.00
_cell_angle_gamma 90.00
_space_group_name_H-M_alt 'I m -3'
_space_group_IT_number 204
_space_group_name_Hall '-I 2 2 3'
loop_
_atom_site_label
_atom_site_type_symbol
_atom_site_fract_x
_atom_site_fract_y
_atom_site_fract_z
Ba1 Ba 0.000 0.000 0.000
Er1 Er 0.250 0.250 0.250
B1 B 0.000 0.000 0.500
O1 O 0.000 0.351 0.142
```

Values from the calculation:
Formation energy from raw total energies = -2.372 eV/atom
Total energy = -294.3 eV for the cell shown
D(E_F) = 0.474 states/eV per atom
Spin magnetization = 1.092 μB per formula unit


(8)
A relaxed BaErB2O6 crystal. Source: Alexandria via LeMat-Bulk, functional PBE.

The structure in CIF format:
```
data_BaErB2O6
_chemical_formula_sum 'Ba4 Er4 B8 O24'
_cell_length_a 8.368
_cell_length_b 9.972
_cell_length_c 6.944
_cell_angle_alpha 90.00
_cell_angle_beta 110.15
_cell_angle_gamma 90.00
_space_group_name_H-M_alt 'C 1 2/c 1'
_space_group_IT_number 15
_space_group_name_Hall '-C 2yc'
loop_
_atom_site_label
_atom_site_type_symbol
_atom_site_fract_x
_atom_site_fract_y
_atom_site_fract_z
Ba1 Ba 0.000 0.136 0.250
Er1 Er 0.000 0.412 0.750
B1 B 0.239 0.374 0.249
O1 O 0.082 0.384 0.094
O2 O 0.173 0.244 0.715
O3 O 0.212 0.016 0.624
```

Values from the calculation:
Formation energy from raw total energies = -2.737 eV/atom
Total energy = -307.8 eV for the cell shown
D(E_F) = 0.410 states/eV per atom
Spin magnetization = 0.812 μB per formula unit


(9)
A relaxed Ba3ErB3O9 crystal. Source: Alexandria via LeMat-Bulk, functional PBE.

The structure in CIF format:
```
data_Ba3ErB3O9
_chemical_formula_sum 'Ba18 Er6 B18 O54'
_cell_length_a 9.4838
_cell_length_b 9.4838
_cell_length_c 17.9883
_cell_angle_alpha 90.00
_cell_angle_beta 90.00
_cell_angle_gamma 120.00
_space_group_name_H-M_alt 'P 63 c m'
_space_group_IT_number 185
_space_group_name_Hall 'P 6c -2'
loop_
_atom_site_label
_atom_site_type_symbol
_atom_site_fract_x
_atom_site_fract_y
_atom_site_fract_z
Ba1 Ba 0.0000 0.0000 0.0000
Ba2 Ba 0.0000 0.3175 0.1531
Ba3 Ba 0.0000 0.3482 0.9137
Ba4 Ba 0.3333 0.6667 0.0607
Er1 Er 0.0000 0.0000 0.2863
Er2 Er 0.3333 0.6667 0.2804
B1 B 0.0000 0.3265 0.3565
B2 B 0.0000 0.3326 0.5325
B3 B 0.0000 0.3400 0.7051
O1 O 0.0000 0.1810 0.3662
O2 O 0.0000 0.1938 0.7147
O3 O 0.0000 0.4798 0.5323
O4 O 0.1464 0.4727 0.3519
O5 O 0.1472 0.3327 0.5329
O6 O 0.1470 0.4860 0.6999
```

Values from the calculation:
Formation energy from raw total energies = -2.917 eV/atom
Total energy = -729.9 eV for the cell shown
D(E_F) = 0.000 states/eV per atom
Spin magnetization = 0.000 μB per formula unit


(10)
A relaxed BaErBO4 crystal. Source: Alexandria via LeMat-Bulk, functional PBE.

The structure in CIF format:
```
data_BaErBO4
_chemical_formula_sum 'Ba2 Er2 B2 O8'
_cell_length_a 5.030
_cell_length_b 5.410
_cell_length_c 7.235
_cell_angle_alpha 90.00
_cell_angle_beta 110.21
_cell_angle_gamma 90.00
_space_group_name_H-M_alt 'P 1 21/m 1'
_space_group_IT_number 11
_space_group_name_Hall '-P 2yb'
loop_
_atom_site_label
_atom_site_type_symbol
_atom_site_fract_x
_atom_site_fract_y
_atom_site_fract_z
Ba1 Ba 0.191 0.250 0.417
Er1 Er 0.285 0.250 0.964
B1 B 0.293 0.750 0.180
O1 O 0.115 0.750 0.307
O2 O 0.117 0.750 0.965
O3 O 0.484 0.526 0.215
```

Values from the calculation:
Formation energy from raw total energies = -3.009 eV/atom
Total energy = -108.1 eV for the cell shown
D(E_F) = 0.000 states/eV per atom
Spin magnetization = 0.000 μB per formula unit


(11)
A relaxed Ba3ErB2O8 crystal. Source: Alexandria via LeMat-Bulk, functional PBE.

The structure in CIF format:
```
data_Ba3ErB2O8
_chemical_formula_sum 'Ba3 Er1 B2 O8'
_cell_length_a 5.6012
_cell_length_b 5.6012
_cell_length_c 7.3304
_cell_angle_alpha 90.00
_cell_angle_beta 90.00
_cell_angle_gamma 120.00
_space_group_name_H-M_alt 'P -3 m 1'
_space_group_IT_number 164
_space_group_name_Hall '-P 3 2"'
loop_
_atom_site_label
_atom_site_type_symbol
_atom_site_fract_x
_atom_site_fract_y
_atom_site_fract_z
Ba1 Ba 0.0000 0.0000 0.0000
Ba2 Ba 0.3333 0.6667 0.6943
Er1 Er 0.0000 0.0000 0.5000
B1 B 0.3333 0.6667 0.2509
O1 O 0.1863 0.3727 0.3211
O2 O 0.3333 0.6667 0.0514
```

Values from the calculation:
Formation energy from raw total energies = -2.717 eV/atom
Total energy = -101.4 eV for the cell shown
D(E_F) = 0.395 states/eV per atom
Spin magnetization = 1.053 μB per formula unit


(12)
A relaxed BaErBS4 crystal. Source: Alexandria via LeMat-Bulk, functional PBE.

The structure in CIF format:
```
data_BaErBS4
_chemical_formula_sum 'Ba2 Er2 B2 S8'
_cell_length_a 6.131
_cell_length_b 6.422
_cell_length_c 8.347
_cell_angle_alpha 90.00
_cell_angle_beta 108.23
_cell_angle_gamma 90.00
_space_group_name_H-M_alt 'P 1 21/m 1'
_space_group_IT_number 11
_space_group_name_Hall '-P 2yb'
loop_
_atom_site_label
_atom_site_type_symbol
_atom_site_fract_x
_atom_site_fract_y
_atom_site_fract_z
Ba1 Ba 0.220 0.250 0.427
Er1 Er 0.271 0.250 0.949
B1 B 0.288 0.750 0.180
S1 S 0.103 0.750 0.335
S2 S 0.103 0.750 0.945
S3 S 0.490 0.510 0.221
```

Values from the calculation:
Formation energy from raw total energies = -1.524 eV/atom
Total energy = -80.7 eV for the cell shown
D(E_F) = 0.000 states/eV per atom
Spin magnetization = 0.000 μB per formula unit